# 1
DFT (GGA-PBE) results for crystalline Sm3S2N at its relaxed geometry.

Calculated values
The energy above the lowest structure with this stoichiometry comes out at 0.91 eV/f.u. For the electronic total energy, the calculation gives -0.4984 Ry per atom. The calculation puts the formation energy (no corrections) at -960 kJ/mol of formula units.

Lattice parameters (Å, degrees): 3.7579 3.7579 20.2924 90.00 90.00 120.00
Fractional positions:
Sm (0.0000, 0.0000, 0.0000)
Sm (0.3333, 0.6667, 0.1754)
Sm (0.3333, 0.6667, 0.3246)
Sm (0.0000, 0.0000, 0.5000)
Sm (0.6667, 0.3333, 0.6754)
Sm (0.6667, 0.3333, 0.8246)
S (0.3333, 0.6667, 0.9124)
S (0.6667, 0.3333, 0.0876)
S (0.6667, 0.3333, 0.4124)
S (0.3333, 0.6667, 0.5876)
N (0.0000, 0.0000, 0.2500)
N (0.0000, 0.0000, 0.7500)

***

# 2
DFT (GGA-PBE) results for crystalline Sr2LaAg2 at its relaxed geometry.

Calculated values
The energy above the lowest structure with this stoichiometry comes out at 0.90 eV/f.u. For the electronic total energy, the calculation gives -0.2062 Ry per atom.

Lattice parameters (Å, degrees): 9.3260 9.3260 3.6216 90.00 90.00 90.00
Last column: magnetic moment on the atom in μB.
Fractional positions:
Sr (0.3652, 0.8652, 0.0000)  0.01
Sr (0.8652, 0.6348, 0.0000)  0.01
Sr (0.6348, 0.1348, 0.0000)  0.01
Sr (0.1348, 0.3652, 0.0000)  0.01
Ag (0.1652, 0.6652, 0.5000)  0.00
Ag (0.6652, 0.8348, 0.5000)  0.01
Ag (0.8348, 0.3348, 0.5000)  0.00
Ag (0.3348, 0.1652, 0.5000)  0.01
La (0.0000, 0.0000, 0.0000)  0.13
La (0.5000, 0.5000, 0.0000)  0.13

***

# 3
DFT (GGA-PBE) results for crystalline CsNpSiO6 at its relaxed geometry.

Calculated values
For the electronic total energy, the calculation gives -0.5735 Ry per atom. The calculation puts the formation energy (no corrections) at -2052 kJ/mol of formula units.

Lattice parameters (Å, degrees): 5.1836 5.1836 6.8266 90.00 90.00 60.00
Fractional positions:
Cs (0.0000, 0.0000, 0.0000)
Np (0.6666, 0.6667, 0.5000)
Si (0.3333, 0.3333, 0.5000)
O (0.0322, 0.3644, 0.3474)
O (0.3644, 0.0322, 0.6525)
O (0.6033, 0.3644, 0.6525)
O (0.0322, 0.6034, 0.6525)
O (0.3644, 0.6034, 0.3474)
O (0.6034, 0.0322, 0.3474)